(1)
Density functional theory data (PBE) for crystalline Pr4Cu3Pt at its relaxed geometry.

Unit cell a=3.9972 b=4.5402 c=10.8505 alpha=90.00 beta=90.00 gamma=90.00
Fractional coordinates of all 8 atoms:
Pr 0.0000 0.0000 0.0000
Pr 0.0000 0.5000 0.2764
Pr 0.5000 0.0000 0.4966
Pr 0.5000 0.5000 0.7776
Cu 0.0000 0.0000 0.7024
Cu 0.0000 0.5000 0.5709
Cu 0.5000 0.5000 0.0647
Pt 0.5000 0.0000 0.2130

Properties
- space group = Pmm2, No. 25
- ρ (g/cm3) = 8.006
- energy (eV/atom) = -5.092
- formation energy from the elements (eV/atom) = -0.412

(2)
Density functional theory data (PBE) for crystalline Pr2Cu2Pt5Rh at its relaxed geometry.

Unit cell a=9.3945 b=9.3945 c=4.0190 alpha=90.00 beta=90.00 gamma=90.00
Fractional coordinates of all 20 atoms:
Pr 0.1831 0.3169 0.0000
Pr 0.3169 0.8169 0.0000
Pr 0.6831 0.1831 0.0000
Pr 0.8169 0.6831 0.0000
Cu 0.1156 0.6156 0.0000
Cu 0.3844 0.1156 0.0000
Cu 0.6156 0.8844 0.0000
Cu 0.8844 0.3844 0.0000
Pt 0.0000 0.5000 0.5000
Pt 0.0612 0.7930 0.5000
Pt 0.2070 0.0612 0.5000
Pt 0.2930 0.5612 0.5000
Pt 0.4388 0.2930 0.5000
Pt 0.5000 0.0000 0.5000
Pt 0.5612 0.7070 0.5000
Pt 0.7070 0.4388 0.5000
Pt 0.7930 0.9388 0.5000
Pt 0.9388 0.2070 0.5000
Rh 0.0000 0.0000 0.0000
Rh 0.5000 0.5000 0.0000

Properties
- space group = P4/mbm, No. 127
- ρ (g/cm3) = 13.925
- energy (eV/atom) = -6.141
- formation energy from the elements (eV/atom) = -0.610

(3)
Density functional theory data (PBE) for crystalline Pr2CuPt5Rh2 at its relaxed geometry.

Unit cell a=9.5522 b=9.5522 c=4.0486 alpha=90.00 beta=90.00 gamma=90.00
Fractional coordinates of all 20 atoms:
Pr 0.1724 0.3276 0.0000
Pr 0.3276 0.8276 0.0000
Pr 0.6724 0.1724 0.0000
Pr 0.8276 0.6724 0.0000
Cu 0.0000 0.0000 0.0000
Cu 0.5000 0.5000 0.0000
Pt 0.0000 0.5000 0.5000
Pt 0.0572 0.8033 0.5000
Pt 0.1967 0.0572 0.5000
Pt 0.3033 0.5572 0.5000
Pt 0.4428 0.3033 0.5000
Pt 0.5000 0.0000 0.5000
Pt 0.5572 0.6967 0.5000
Pt 0.6967 0.4428 0.5000
Pt 0.8033 0.9428 0.5000
Pt 0.9428 0.1967 0.5000
Rh 0.1285 0.6285 0.0000
Rh 0.3715 0.1285 0.0000
Rh 0.6285 0.8715 0.0000
Rh 0.8715 0.3715 0.0000

Properties
- space group = P4/mbm, No. 127
- ρ (g/cm3) = 13.724
- energy (eV/atom) = -6.404
- formation energy from the elements (eV/atom) = -0.548

What is the formula in the second record?
Pr2Cu2Pt5Rh

energy of number 3 (Pr2CuPt5Rh2)?
-6.404 eV/atom